Record 1
Entry from the Alexandria database: an optimized crystal structure of K12S3Br5 (PBE).

## Properties
Fermi-level density of states: 0.063 states/eV/atom
raw formation energy: -1.2193 eV per atom
total magnetization: 0.00 Bohr magnetons per cell

Cell and atoms, written as CIF:
```
data_K12S3Br5
_space_group_name_H-M_alt 'I a -3 d'
_space_group_IT_number 230
_space_group_name_Hall '-I 4bd 2c 3'
_cell_length_a 18.888
_cell_length_b 18.888
_cell_length_c 18.888
_cell_angle_alpha 90.00
_cell_angle_beta 90.00
_cell_angle_gamma 90.00
loop_
_atom_site_label
_atom_site_type_symbol
_atom_site_fract_x
_atom_site_fract_y
_atom_site_fract_z
_atom_site_occupancy
K1 K 0.016 0.078 0.655 1
S1 S 0.000 0.250 0.125 1
Br1 Br 0.000 0.000 0.000 1
Br2 Br 0.000 0.250 0.375 1
```


Record 2
Entry from the Alexandria database: an optimized crystal structure of MgAsH2Ru (PBE).

## Properties
energy: -3.5481 eV per atom
Fermi-level density of states: 0.768 states/eV/atom
total magnetization: 1.34 Bohr magnetons per cell

Cell and atoms, written as CIF:
```
data_MgAsH2Ru
_space_group_name_H-M_alt 'P 4/m m m'
_space_group_IT_number 123
_space_group_name_Hall '-P 4 2'
_cell_length_a 3.604
_cell_length_b 3.604
_cell_length_c 5.704
_cell_angle_alpha 90.00
_cell_angle_beta 90.00
_cell_angle_gamma 90.00
loop_
_atom_site_label
_atom_site_type_symbol
_atom_site_fract_x
_atom_site_fract_y
_atom_site_fract_z
_atom_site_occupancy
Mg1 Mg 0.000 0.000 0.000 1
As1 As 0.000 0.000 0.500 1
H1 H 0.000 0.500 0.500 1
Ru1 Ru 0.500 0.500 0.000 1
```


Record 3
Entry from the Alexandria database: an optimized crystal structure of ErNbS4 (PBE).

## Properties
Fermi-level density of states: 0.084 states/eV/atom
raw formation energy: -1.1135 eV per atom
total magnetization: 0.00 Bohr magnetons per cell

Cell and atoms, written as CIF:
```
data_ErNbS4
_space_group_name_H-M_alt 'P 1 21/c 1'
_space_group_IT_number 14
_cell_length_a 6.389
_cell_length_b 6.357
_cell_length_c 6.405
_cell_angle_alpha 90.00
_cell_angle_beta 96.85
_cell_angle_gamma 90.00
loop_
_space_group_symop_operation_xyz
'x,y,z'
'-x,-y,-z'
'-x,y+1/2,-z+1/2'
'x,-y+1/2,z+1/2'
loop_
_atom_site_label
_atom_site_type_symbol
_atom_site_fract_x
_atom_site_fract_y
_atom_site_fract_z
_atom_site_occupancy
Er1 Er 0.000 0.000 0.000 1
Nb1 Nb 0.500 0.000 0.500 1
S1 S 0.157 0.138 0.385 1
S2 S 0.371 0.659 0.319 1
```


Record 4
Entry from the Alexandria database: an optimized crystal structure of KCa2Ag (PBE).

## Properties
Fermi-level density of states: 0.822 states/eV/atom
calculated formation energy: 0.01 eV per atom
total magnetization: 0.00 Bohr magnetons per cell

Cell and atoms, written as CIF:
```
data_KCa2Ag
_space_group_name_H-M_alt 'I m m 2'
_space_group_IT_number 44
_cell_length_a 3.963
_cell_length_b 4.131
_cell_length_c 20.868
_cell_angle_alpha 90.00
_cell_angle_beta 90.00
_cell_angle_gamma 90.00
loop_
_space_group_symop_operation_xyz
'x,y,z'
'-x,-y,z'
'-x,y,z'
'x,-y,z'
'x+1/2,y+1/2,z+1/2'
'-x+1/2,-y+1/2,z+1/2'
'-x+1/2,y+1/2,z+1/2'
'x+1/2,-y+1/2,z+1/2'
loop_
_atom_site_label
_atom_site_type_symbol
_atom_site_fract_x
_atom_site_fract_y
_atom_site_fract_z
_atom_site_occupancy
K1 K 0.000 0.000 0.000 1
Ca1 Ca 0.000 0.000 0.338 1
Ca2 Ca 0.000 0.500 0.176 1
Ag1 Ag 0.000 0.500 0.728 1
```